Below is an optimized crystal structure of CaAcI5, with properties calculated at the GGA-PBE level.

Properties
For the raw formation energy, the calculation gives -1.488 eV/atom. For the density of states at the Fermi level, the calculation gives 0.0 states/eV per cell.

Cell: 12.7767 10.9183 12.7042 Å, 90.00 116.64 90.00°
Space group C2/c (No. 15)
Symmetry-distinct sites (fractional):
Ca 0.0000 0.0742 0.2500 (multiplicity 4)
Ac 0.2500 0.2500 0.0000 (multiplicity 4)
I 0.0000 0.2249 0.7500 (multiplicity 4)
I 0.1046 0.2708 0.1524 (multiplicity 8)
I 0.2227 0.0453 0.4869 (multiplicity 8)

=====

Below is an optimized crystal structure of AlCdFe2, with properties calculated at the GGA-PBE level.

Properties
The value obtained for the calculated formation energy is 0.140 eV/atom. For the density of states at the Fermi level, the calculation gives 2.5 states/eV per cell.

Cell: 3.8279 3.8279 3.9340 Å, 90.00 90.00 90.00°
Space group P4/mmm (No. 123)
Symmetry-distinct sites (fractional):
Al 0.0000 0.0000 0.0000 (multiplicity 1)
Cd 0.5000 0.5000 0.0000 (multiplicity 1)
Fe 0.0000 0.5000 0.5000 (multiplicity 2)

=====

Below is an optimized crystal structure of HgBiH2, with properties calculated at the GGA-PBE level.

Properties
The value obtained for the total energy is -9.0 eV per formula unit. For the density of states at the Fermi level, the calculation gives 3.7 states/eV per cell.

Cell: 3.7782 3.7782 18.2835 Å, 90.00 90.00 120.00°
Space group R3m (No. 160, hexagonal axes)
Symmetry-distinct sites (fractional):
Hg 0.0000 0.0000 0.0000 (multiplicity 3)
Bi 0.0000 0.0000 0.8212 (multiplicity 3)
H 0.0000 0.0000 0.1939 (multiplicity 3)
H 0.0000 0.0000 0.4561 (multiplicity 3)

=====

Below is an optimized crystal structure of CrMo2SeBr, with properties calculated at the GGA-PBE level.

Properties
For the raw formation energy, the calculation gives 1.212 eV/atom. For the density of states at the Fermi level, the calculation gives 6.2 states/eV per cell.

Cell: 4.8331 4.8331 4.6975 Å, 90.00 90.00 90.00°
Space group P4/mmm (No. 123)
Symmetry-distinct sites (fractional):
Cr 0.0000 0.0000 0.0000 (multiplicity 1)
Mo 0.0000 0.5000 0.5000 (multiplicity 2)
Se 0.0000 0.0000 0.5000 (multiplicity 1)
Br 0.5000 0.5000 0.0000 (multiplicity 1)

=====

Below is an optimized crystal structure of La2TmAl3Pd4, with properties calculated at the GGA-PBE level.

Properties
The value obtained for the calculated formation energy is -0.836 eV/atom. For the density of states at the Fermi level, the calculation gives 7.5 states/eV per cell.

Cell: 4.4338 4.4338 10.8260 Å, 90.00 90.00 90.00°
Space group P-4m2 (No. 115)
Symmetry-distinct sites (fractional):
La 0.0000 0.5000 0.2330 (multiplicity 2)
Tm 0.0000 0.0000 0.5000 (multiplicity 1)
Al 0.0000 0.5000 0.8848 (multiplicity 2)
Al 0.5000 0.5000 0.5000 (multiplicity 1)
Pd 0.0000 0.0000 0.0000 (multiplicity 1)
Pd 0.0000 0.5000 0.6510 (multiplicity 2)
Pd 0.5000 0.5000 0.0000 (multiplicity 1)

=====

Below is an optimized crystal structure of KNbAu3, with properties calculated at the GGA-PBE level.

Properties
The value obtained for the calculated formation energy is 1.619 eV/atom. For the density of states at the Fermi level, the calculation gives 2.6 states/eV per cell.

Cell: 5.2822 5.2822 5.2822 Å, 90.00 90.00 90.00°
Space group Pm-3m (No. 221)
Symmetry-distinct sites (fractional):
K 0.0000 0.0000 0.0000 (multiplicity 1)
Nb 0.5000 0.5000 0.5000 (multiplicity 1)
Au 0.0000 0.0000 0.5000 (multiplicity 3)

=====

Below is an optimized crystal structure of Y4ZrNi, with properties calculated at the GGA-PBE level.

Properties
The value obtained for the calculated formation energy is 0.750 eV/atom. For the density of states at the Fermi level, the calculation gives 37.9 states/eV per cell.

Cell: 8.7604 8.7604 8.7604 Å, 90.00 90.00 90.00°
Space group F-43m (No. 216)
Symmetry-distinct sites (fractional):
Y 0.1245 0.1245 0.1245 (multiplicity 16)
Zr 0.2500 0.2500 0.7500 (multiplicity 4)
Ni 0.0000 0.0000 0.5000 (multiplicity 4)

=====

Below is an optimized crystal structure of Li2TbGa4, with properties calculated at the GGA-PBE level.

Properties
The value obtained for the calculated formation energy is -0.377 eV/atom. For the density of states at the Fermi level, the calculation gives 7.5 states/eV per cell.

Cell: 3.4160 4.3652 18.1721 Å, 90.00 90.00 90.00°
Space group Immm (No. 71)
Symmetry-distinct sites (fractional):
Li 0.0000 0.0000 0.1988 (multiplicity 4)
Tb 0.0000 0.5000 0.0000 (multiplicity 2)
Ga 0.0000 0.0000 0.3485 (multiplicity 4)
Ga 0.0000 0.5000 0.4266 (multiplicity 4)